i.
The following is a PBE calculation of a geometry-optimized MgInHgSb structure, from Alexandria.

Its space-group type is F-43m.

```
data_MgInHgSb
_chemical_formula_sum 'Mg1 In1 Hg1 Sb1'
_cell_length_a 5.284
_cell_length_b 5.284
_cell_length_c 5.284
_cell_angle_alpha 60.00
_cell_angle_beta 60.00
_cell_angle_gamma 60.00
_symmetry_space_group_name_H-M 'P 1'
_symmetry_Int_Tables_number 1
loop_
_symmetry_equiv_pos_as_xyz
'x,y,z'
loop_
_atom_site_label
_atom_site_type_symbol
_atom_site_fract_x
_atom_site_fract_y
_atom_site_fract_z
_atom_site_occupancy
Hg1 Hg 0.500 0.500 0.500 1
Mg1 Mg 0.750 0.750 0.750 1
In1 In 0.250 0.250 0.250 1
Sb1 Sb 0.000 0.000 0.000 1
```

***

ii.
The following is a PBE calculation of a geometry-optimized MgInHgSb structure, from Alexandria.

Its space-group type is R-3m.

```
data_MgInHgSb
_chemical_formula_sum 'Mg2 In2 Hg2 Sb2'
_cell_length_a 4.749
_cell_length_b 4.749
_cell_length_c 12.848
_cell_angle_alpha 79.35
_cell_angle_beta 79.35
_cell_angle_gamma 60.00
_symmetry_space_group_name_H-M 'P 1'
_symmetry_Int_Tables_number 1
loop_
_symmetry_equiv_pos_as_xyz
'x,y,z'
loop_
_atom_site_label
_atom_site_type_symbol
_atom_site_fract_x
_atom_site_fract_y
_atom_site_fract_z
_atom_site_occupancy
Sb1 Sb 0.885 0.885 0.345 1
Mg1 Mg 0.193 0.193 0.421 1
Mg2 Mg 0.807 0.807 0.579 1
Hg1 Hg 0.308 0.308 0.075 1
Sb2 Sb 0.115 0.115 0.655 1
In1 In 0.597 0.597 0.208 1
Hg2 Hg 0.692 0.692 0.925 1
In2 In 0.403 0.403 0.792 1
```

***

So which one is most stable? That would be ii, about 0.060 eV/atom below the next structure.

***

i.
The following is a PBE calculation of a geometry-optimized MgScInHg structure, from Alexandria.

Its space-group type is F-43m.

```
data_MgScInHg
_chemical_formula_sum 'Mg1 Sc1 In1 Hg1'
_cell_length_a 4.981
_cell_length_b 4.981
_cell_length_c 4.981
_cell_angle_alpha 60.00
_cell_angle_beta 60.00
_cell_angle_gamma 60.00
_symmetry_space_group_name_H-M 'P 1'
_symmetry_Int_Tables_number 1
loop_
_symmetry_equiv_pos_as_xyz
'x,y,z'
loop_
_atom_site_label
_atom_site_type_symbol
_atom_site_fract_x
_atom_site_fract_y
_atom_site_fract_z
_atom_site_occupancy
Hg1 Hg 0.250 0.250 0.250 1
Mg1 Mg 0.000 0.000 0.000 1
Sc1 Sc 0.500 0.500 0.500 1
In1 In 0.750 0.750 0.750 1
```

***

ii.
The following is a PBE calculation of a geometry-optimized MgScInHg structure, from Alexandria.

Its space-group type is Pmmm.

```
data_MgScInHg
_chemical_formula_sum 'Mg1 Sc1 In1 Hg1'
_cell_length_a 4.027
_cell_length_b 4.716
_cell_length_c 4.603
_cell_angle_alpha 90.00
_cell_angle_beta 90.00
_cell_angle_gamma 90.00
_symmetry_space_group_name_H-M 'P 1'
_symmetry_Int_Tables_number 1
loop_
_symmetry_equiv_pos_as_xyz
'x,y,z'
loop_
_atom_site_label
_atom_site_type_symbol
_atom_site_fract_x
_atom_site_fract_y
_atom_site_fract_z
_atom_site_occupancy
Sc1 Sc 0.000 0.000 0.000 1
In1 In 0.500 0.000 0.500 1
Mg1 Mg 0.000 0.500 0.500 1
Hg1 Hg 0.500 0.500 0.000 1
```

***

So which one is most stable? That would be ii, about 0.029 eV/atom below the next structure.

***

i.
The following is a PBE calculation of a geometry-optimized MgInSnHg structure, from Alexandria.

Its space-group type is P4mm.

```
data_MgInSnHg
_chemical_formula_sum 'Mg1 In1 Sn1 Hg1'
_cell_length_a 3.328
_cell_length_b 3.328
_cell_length_c 9.016
_cell_angle_alpha 90.00
_cell_angle_beta 90.00
_cell_angle_gamma 90.00
_symmetry_space_group_name_H-M 'P 1'
_symmetry_Int_Tables_number 1
loop_
_symmetry_equiv_pos_as_xyz
'x,y,z'
loop_
_atom_site_label
_atom_site_type_symbol
_atom_site_fract_x
_atom_site_fract_y
_atom_site_fract_z
_atom_site_occupancy
In1 In 0.000 0.000 0.081 1
Hg1 Hg 0.500 0.500 0.344 1
Sn1 Sn 0.500 0.500 0.799 1
Mg1 Mg 0.000 0.000 0.561 1
```

***

ii.
The following is a PBE calculation of a geometry-optimized MgInSnHg structure, from Alexandria.

Its space-group type is F-43m.

```
data_MgInSnHg
_chemical_formula_sum 'Mg1 In1 Sn1 Hg1'
_cell_length_a 5.241
_cell_length_b 5.241
_cell_length_c 5.241
_cell_angle_alpha 60.00
_cell_angle_beta 60.00
_cell_angle_gamma 60.00
_symmetry_space_group_name_H-M 'P 1'
_symmetry_Int_Tables_number 1
loop_
_symmetry_equiv_pos_as_xyz
'x,y,z'
loop_
_atom_site_label
_atom_site_type_symbol
_atom_site_fract_x
_atom_site_fract_y
_atom_site_fract_z
_atom_site_occupancy
In1 In 0.000 0.000 0.000 1
Sn1 Sn 0.250 0.250 0.250 1
Hg1 Hg 0.750 0.750 0.750 1
Mg1 Mg 0.500 0.500 0.500 1
```

***

So which one is most stable? That would be i, about 0.056 eV/atom below the next structure.

***

i.
The following is a PBE calculation of a geometry-optimized MgTlInHg structure, from Alexandria.

Its space-group type is F-43m.

```
data_MgTlInHg
_chemical_formula_sum 'Mg1 Tl1 In1 Hg1'
_cell_length_a 5.248
_cell_length_b 5.248
_cell_length_c 5.248
_cell_angle_alpha 60.00
_cell_angle_beta 60.00
_cell_angle_gamma 60.00
_symmetry_space_group_name_H-M 'P 1'
_symmetry_Int_Tables_number 1
loop_
_symmetry_equiv_pos_as_xyz
'x,y,z'
loop_
_atom_site_label
_atom_site_type_symbol
_atom_site_fract_x
_atom_site_fract_y
_atom_site_fract_z
_atom_site_occupancy
In1 In 0.250 0.250 0.250 1
Mg1 Mg 0.750 0.750 0.750 1
Hg1 Hg 0.500 0.500 0.500 1
Tl1 Tl 0.000 0.000 0.000 1
```

***

ii.
The following is a PBE calculation of a geometry-optimized MgTlInHg structure, from Alexandria.

Its space-group type is P4mm.

```
data_MgTlInHg
_chemical_formula_sum 'Mg1 Tl1 In1 Hg1'
_cell_length_a 3.356
_cell_length_b 3.356
_cell_length_c 9.146
_cell_angle_alpha 90.00
_cell_angle_beta 90.00
_cell_angle_gamma 90.00
_symmetry_space_group_name_H-M 'P 1'
_symmetry_Int_Tables_number 1
loop_
_symmetry_equiv_pos_as_xyz
'x,y,z'
loop_
_atom_site_label
_atom_site_type_symbol
_atom_site_fract_x
_atom_site_fract_y
_atom_site_fract_z
_atom_site_occupancy
Tl1 Tl 0.000 0.000 0.080 1
In1 In 0.500 0.500 0.790 1
Hg1 Hg 0.500 0.500 0.355 1
Mg1 Mg 0.000 0.000 0.559 1
```

***

So which one is most stable? That would be ii, about 0.067 eV/atom below the next structure.

***

i.
The following is a PBE calculation of a geometry-optimized Mn2InHg structure, from Alexandria.

Its space-group type is P4/mmm.

```
data_Mn2InHg
_chemical_formula_sum 'Mn2 In1 Hg1'
_cell_length_a 3.057
_cell_length_b 3.057
_cell_length_c 7.674
_cell_angle_alpha 90.00
_cell_angle_beta 90.00
_cell_angle_gamma 90.01
_symmetry_space_group_name_H-M 'P 1'
_symmetry_Int_Tables_number 1
loop_
_symmetry_equiv_pos_as_xyz
'x,y,z'
loop_
_atom_site_label
_atom_site_type_symbol
_atom_site_fract_x
_atom_site_fract_y
_atom_site_fract_z
_atom_site_occupancy
Mn1 Mn 0.000 0.000 0.001 1
Mn2 Mn 0.000 0.000 0.499 1
Hg1 Hg 0.500 0.500 0.250 1
In1 In 0.500 0.500 0.750 1
```

***

ii.
The following is a PBE calculation of a geometry-optimized Mn2InHg structure, from Alexandria.

Its space-group type is P4mm.

```
data_Mn2InHg
_chemical_formula_sum 'Mn2 In1 Hg1'
_cell_length_a 3.038
_cell_length_b 3.038
_cell_length_c 7.832
_cell_angle_alpha 90.00
_cell_angle_beta 90.00
_cell_angle_gamma 90.00
_symmetry_space_group_name_H-M 'P 1'
_symmetry_Int_Tables_number 1
loop_
_symmetry_equiv_pos_as_xyz
'x,y,z'
loop_
_atom_site_label
_atom_site_type_symbol
_atom_site_fract_x
_atom_site_fract_y
_atom_site_fract_z
_atom_site_occupancy
In1 In 0.500 0.500 0.791 1
Hg1 Hg 0.000 0.000 0.463 1
Mn1 Mn 0.000 0.000 0.036 1
Mn2 Mn 0.500 0.500 0.210 1
```

***

So which one is most stable? That would be ii, about 0.057 eV/atom below the next structure.

***

i.
The following is a PBE calculation of a geometry-optimized Mn2InHg structure, from Alexandria.

Its space-group type is Imm2.

```
data_Mn2InHg
_chemical_formula_sum 'Mn2 In1 Hg1'
_cell_length_a 5.647
_cell_length_b 5.647
_cell_length_c 5.647
_cell_angle_alpha 146.58
_cell_angle_beta 131.84
_cell_angle_gamma 59.89
_symmetry_space_group_name_H-M 'P 1'
_symmetry_Int_Tables_number 1
loop_
_symmetry_equiv_pos_as_xyz
'x,y,z'
loop_
_atom_site_label
_atom_site_type_symbol
_atom_site_fract_x
_atom_site_fract_y
_atom_site_fract_z
_atom_site_occupancy
Hg1 Hg 0.488 0.488 0.000 1
Mn1 Mn 0.243 0.743 0.500 1
In1 In 0.753 0.253 0.500 1
Mn2 Mn 0.016 0.016 0.000 1
```

***

ii.
The following is a PBE calculation of a geometry-optimized Mn2InHg structure, from Alexandria.

Its space-group type is Pmm2.

```
data_Mn2InHg
_chemical_formula_sum 'Mn2 In1 Hg1'
_cell_length_a 4.774
_cell_length_b 3.042
_cell_length_c 4.931
_cell_angle_alpha 90.02
_cell_angle_beta 90.00
_cell_angle_gamma 90.00
_symmetry_space_group_name_H-M 'P 1'
_symmetry_Int_Tables_number 1
loop_
_symmetry_equiv_pos_as_xyz
'x,y,z'
loop_
_atom_site_label
_atom_site_type_symbol
_atom_site_fract_x
_atom_site_fract_y
_atom_site_fract_z
_atom_site_occupancy
Hg1 Hg 0.000 0.625 0.428 1
In1 In 0.500 0.625 0.824 1
Mn1 Mn 0.000 0.125 0.938 1
Mn2 Mn 0.500 0.125 0.310 1
```

***

iii.
The following is a PBE calculation of a geometry-optimized Mn2InHg structure, from Alexandria.

Its space-group type is I-4m2.

```
data_Mn2InHg
_chemical_formula_sum 'Mn2 In1 Hg1'
_cell_length_a 5.356
_cell_length_b 5.356
_cell_length_c 5.356
_cell_angle_alpha 136.23
_cell_angle_beta 136.23
_cell_angle_gamma 63.62
_symmetry_space_group_name_H-M 'P 1'
_symmetry_Int_Tables_number 1
loop_
_symmetry_equiv_pos_as_xyz
'x,y,z'
loop_
_atom_site_label
_atom_site_type_symbol
_atom_site_fract_x
_atom_site_fract_y
_atom_site_fract_z
_atom_site_occupancy
Hg1 Hg 0.500 0.500 0.000 1
Mn1 Mn 0.000 0.000 0.000 1
In1 In 0.750 0.250 0.500 1
Mn2 Mn 0.250 0.750 0.500 1
```

***

So which one is most stable? That would be ii, about 0.014 eV/atom below the next structure.